[1]
Compound: CaOsRh2
Source: Alexandria
Functional: PBE
Structure: relaxed

Output
The value obtained for the formation energy is 0.210 eV/atom. As for the energy above the lowest structure with this stoichiometry: 160.7 meV per atom. Its density of states at the Fermi level is 5.15 states/eV/cell. The total moment is 0.0 μB per cell. As for the space group: P4mm (99). The calculation puts the calculated volume at 16.6 A^3/atom.

Geometry as POSCAR:
```
CaOsRh2
1.0
-1.614 0.978 2.114
-2.309 -0.338 -1.607
-0.881 -7.690 2.885
Os Ca Rh
1 1 2
Direct
0.500 0.500 0.787
0.000 0.000 0.497
0.000 0.000 0.994
0.500 0.500 0.222
```

***

[2]
Compound: Ca2OsRh
Source: Alexandria
Functional: PBE
Structure: relaxed

Output
The value obtained for the formation energy is 0.177 eV/atom. As for the energy above the lowest structure with this stoichiometry: 108.0 meV per atom. Its density of states at the Fermi level is 3.94 states/eV/cell. The total moment is 0.0 μB per cell. As for the space group: Imm2 (44). The calculation puts the calculated volume at 20.7 A^3/atom.

Geometry as POSCAR:
```
Ca2OsRh
1.0
6.145 0.003 0.000
3.341 5.158 0.000
-4.105 -3.753 2.612
Ca Os Rh
2 1 1
Direct
0.729 0.229 0.500
0.022 0.022 0.000
0.471 0.471 0.000
0.278 0.778 0.500
```

***

[3]
Compound: Ca2OsRh
Source: Alexandria
Functional: PBE
Structure: relaxed

Output
The value obtained for the formation energy is 0.423 eV/atom. As for the energy above the lowest structure with this stoichiometry: 354.2 meV per atom. Its density of states at the Fermi level is 4.01 states/eV/cell. The total moment is 0.0 μB per cell. As for the space group: Pmmm (47). The calculation puts the calculated volume at 19.2 A^3/atom.

Geometry as POSCAR:
```
Ca2OsRh
1.0
3.374 0.000 0.000
0.000 4.985 0.000
0.000 0.000 4.554
Ca Rh Os
2 1 1
Direct
0.000 0.000 0.000
0.500 0.500 0.000
0.000 0.500 0.500
0.500 0.000 0.500
```

***

[4]
Compound: Ca2OsRh
Source: Alexandria
Functional: PBE
Structure: relaxed

Output
The value obtained for the formation energy is 0.404 eV/atom. As for the energy above the lowest structure with this stoichiometry: 334.8 meV per atom. Its density of states at the Fermi level is 5.17 states/eV/cell. The total moment is 1.9 μB per cell. As for the space group: F-43m (216). The calculation puts the calculated volume at 19.6 A^3/atom.

Geometry as POSCAR:
```
Ca2OsRh
1.0
4.804 0.000 0.000
2.402 4.161 0.000
2.402 1.387 3.923
Ca Rh Os
2 1 1
Direct
0.250 0.250 0.250
0.000 0.000 0.000
0.750 0.750 0.750
0.500 0.500 0.500
```

***

[5]
Compound: Ca2OsRh
Source: Alexandria
Functional: PBE
Structure: relaxed

Output
The value obtained for the formation energy is 0.315 eV/atom. As for the energy above the lowest structure with this stoichiometry: 246.4 meV per atom. Its density of states at the Fermi level is 3.37 states/eV/cell. The total moment is 0.0 μB per cell. As for the space group: P2/m (10). The calculation puts the calculated volume at 19.6 A^3/atom.

Geometry as POSCAR:
```
Ca2OsRh
1.0
4.208 0.000 0.000
0.000 2.900 0.014
0.000 2.856 6.441
Rh Os Ca
1 1 2
Direct
0.500 0.750 0.750
0.500 0.250 0.250
0.000 0.497 0.503
0.000 0.003 0.997
```

***

[6]
Compound: Ca2OsRh
Source: Alexandria
Functional: PBE
Structure: relaxed

Output
The value obtained for the formation energy is 0.413 eV/atom. As for the energy above the lowest structure with this stoichiometry: 344.3 meV per atom. Its density of states at the Fermi level is 3.35 states/eV/cell. The total moment is 0.0 μB per cell. As for the space group: Immm (71). The calculation puts the calculated volume at 19.2 A^3/atom.

Geometry as POSCAR:
```
Ca2OsRh
1.0
5.439 0.013 0.013
2.077 5.027 -0.013
-3.147 -3.430 2.812
Ca Rh Os
2 1 1
Direct
0.006 0.006 0.000
0.494 0.494 0.000
0.250 0.750 0.500
0.750 0.250 0.500
```

***

[7]
Compound: CaOsRh
Source: Alexandria
Functional: PBE
Structure: relaxed

Output
The value obtained for the formation energy is 0.672 eV/atom. As for the energy above the lowest structure with this stoichiometry: 533.1 meV per atom. Its density of states at the Fermi level is 5.27 states/eV/cell. The total moment is 0.4 μB per cell. As for the space group: F-43m (216). The calculation puts the calculated volume at 20.3 A^3/atom.

Geometry as POSCAR:
```
CaOsRh
1.0
4.420 0.000 0.000
2.210 3.828 0.000
2.210 1.276 3.609
Os Ca Rh
1 1 1
Direct
0.500 0.500 0.500
0.000 0.000 0.000
0.750 0.750 0.750
```

***

[8]
Compound: CaOsRh2
Source: Alexandria
Functional: PBE
Structure: relaxed

Output
The value obtained for the formation energy is 0.319 eV/atom. As for the energy above the lowest structure with this stoichiometry: 270.3 meV per atom. Its density of states at the Fermi level is 3.56 states/eV/cell. The total moment is 3.6 μB per cell. As for the space group: Fm-3m (225). The calculation puts the calculated volume at 16.8 A^3/atom.

Geometry as POSCAR:
```
CaOsRh2
1.0
1.723 2.708 3.242
-2.268 0.603 3.912
1.604 -1.809 3.868
Rh Os Ca
2 1 1
Direct
0.750 0.750 0.750
0.250 0.250 0.250
0.500 0.500 0.500
0.000 0.000 0.000
```

***

[9]
Compound: CaSi2OsRh
Source: Alexandria
Functional: PBE
Structure: relaxed

Output
The calculation puts the formation energy without anion corrections at -0.7720 eV per atom. Its density of states at the Fermi level is 2.47 states/eV/cell. The total moment is 0.0 μB per cell. As for the space group: I-4m2 (119). The calculation puts the calculated volume at 17.1 A^3/atom.

Geometry as POSCAR:
```
CaSi2OsRh
1.0
-4.111 -0.399 0.540
-0.186 -2.541 -3.295
2.910 -2.400 4.319
Rh Ca Si Os
1 1 2 1
Direct
0.750 0.250 0.500
0.000 0.000 0.000
0.630 0.630 0.260
0.370 0.370 0.740
0.250 0.750 0.500
```

***

[10]
Compound: CaTlOs2Rh
Source: Alexandria
Functional: PBE
Structure: relaxed

Output
The value obtained for the formation energy is 2.730 eV/atom. Its density of states at the Fermi level is 7.47 states/eV/cell. The total moment is 1.6 μB per cell. As for the space group: P4/mmm (123). The calculation puts the calculated volume at 22.9 A^3/atom.

Geometry as POSCAR:
```
CaTlOs2Rh
1.0
4.689 0.000 0.000
0.000 5.215 0.000
0.000 0.000 4.689
Rh Ca Os Tl
1 1 2 1
Direct
0.500 0.500 0.500
0.000 0.000 0.000
0.500 0.000 0.000
0.000 0.000 0.500
0.000 0.500 0.000
```

***

[11]
Compound: CaOsRu2
Source: Alexandria
Functional: PBE
Structure: relaxed

Output
The value obtained for the formation energy is 0.567 eV/atom. As for the energy above the lowest structure with this stoichiometry: 213.9 meV per atom. Its density of states at the Fermi level is 4.91 states/eV/cell. The total moment is 0.0 μB per cell. As for the space group: R3m (160). The calculation puts the calculated volume at 16.1 A^3/atom.

Geometry as POSCAR:
```
CaOsRu2
1.0
-8.903 -3.246 -1.182
-8.279 -4.606 1.199
-9.254 -1.971 1.300
Ca Ru Os
1 2 1
Direct
0.500 0.500 0.500
0.000 0.000 0.000
0.258 0.258 0.258
0.742 0.742 0.742
```

***

[12]
Compound: CaOsRu2
Source: Alexandria
Functional: PBE
Structure: relaxed

Output
The value obtained for the formation energy is 0.565 eV/atom. As for the energy above the lowest structure with this stoichiometry: 212.1 meV per atom. Its density of states at the Fermi level is 7.21 states/eV/cell. The total moment is 1.1 μB per cell. As for the space group: Fm-3m (225). The calculation puts the calculated volume at 16.1 A^3/atom.

Geometry as POSCAR:
```
CaOsRu2
1.0
3.233 -2.686 1.601
-1.090 -3.688 2.332
0.639 -4.071 -1.802
Ru Ca Os
2 1 1
Direct
0.750 0.750 0.750
0.250 0.250 0.250
0.000 0.000 0.000
0.500 0.500 0.500
```